Record 1
The following is a PBE-GGA calculation of a relaxed RbBaSe4 crystal, from Alexandria via LeMat-Bulk.

Output
Space group = Cmmm (65)
Uncorrected formation energy = -0.9827 eV/atom

```
6
Lattice="5.1719 -0.9004 0.0013 -1.8422 4.9159 0.0010 -0.0002 -0.0006 9.0752" Properties=species:S:1:pos:R:3 pbc="T T T"
Rb 5.1556 -0.8919 4.5558
Ba 1.6482 2.0166 0.0180
Se 4.2345 1.5654 6.9674
Se 4.2336 1.5661 2.1452
Se 2.5703 -0.4415 2.1440
Se 2.5692 -0.4415 6.9663
```

Record 2
The following is a PBE-GGA calculation of a relaxed ZnOsS2Cl crystal, from Alexandria via LeMat-Bulk.

Output
Space group = P4/mmm (123)
Offset from the most stable computed form = 0 meV per atom
Uncorrected formation energy = 0.3486 eV/atom

```
5
Lattice="-2.3056 -0.1458 -3.9310 2.6067 -3.4691 -1.4001 -3.2674 -3.2776 2.0380" Properties=species:S:1:pos:R:3 pbc="T T T"
Zn -1.4832 -3.4463 -1.6466
Os 0.0000 0.0000 0.0000
S 1.3033 -1.7345 -0.7001
S -1.1528 -0.0729 -1.9655
Cl -1.6337 -1.6388 1.0190
```

Record 3
The following is a PBE-GGA calculation of a relaxed K2Rb6Pt crystal, from Alexandria via LeMat-Bulk.

Output
Space group = C2/m (12)
ΔE_f = 0.2 eV/f.u.

```
9
Lattice="8.4464 0.0016 4.8765 2.8103 7.9652 4.8765 0.0017 0.0012 9.7563" Properties=species:S:1:pos:R:3 pbc="T T T"
K 2.8145 1.9919 4.8742
K 8.4439 5.9761 14.6350
Rb 2.9569 2.0927 9.7491
Rb 4.2938 5.8747 7.4395
Rb 6.9646 2.0933 12.0697
Rb 6.9682 2.0959 7.4395
Rb 4.2902 5.8721 12.0697
Rb 8.3015 5.8753 9.7601
Pt 5.6292 3.9840 9.7546
```

Record 4
The following is a PBE-GGA calculation of a relaxed Pa2AlNi12P3 crystal, from Alexandria via LeMat-Bulk.

Output
Space group = R-3m (166)
ΔE_f = -2.7 eV/f.u.

```
18
Lattice="7.1004 -0.1389 -0.0985 3.3857 6.2427 -0.0985 3.3857 1.9708 5.9243" Properties=species:S:1:pos:R:3 pbc="T T T"
Pa 8.5341 4.9676 3.5234
Pa 5.3377 3.1070 2.2038
Al 0.0000 0.0000 0.0000
Ni 6.7553 3.9322 5.1808
Ni 10.3589 6.0297 2.1456
Ni 8.6099 7.0231 4.9814
Ni 8.7181 2.8174 1.9983
Ni 10.3589 4.0183 4.9814
Ni 6.7553 6.1895 1.9983
Ni 7.1165 4.1424 0.5464
Ni 3.5129 2.0448 3.5816
Ni 5.2619 1.0515 0.7458
Ni 5.1537 5.2572 3.7288
Ni 3.5129 4.0562 0.7458
Ni 7.1165 1.8851 3.7288
P 3.5502 -0.0695 -0.0493
P 1.6929 3.1214 -0.0493
P 1.6929 0.9854 2.9621
```

Record 5
The following is a PBE-GGA calculation of a relaxed ScTe2PbN crystal, from Alexandria via LeMat-Bulk.

Output
Space group = P4/mmm (123)
Offset from the most stable computed form = 829 meV per atom
Uncorrected formation energy = 0.7255 eV/atom

```
5
Lattice="5.8724 0.0000 0.0000 0.0000 5.8724 0.0000 0.0000 0.0000 4.1835" Properties=species:S:1:pos:R:3 pbc="T T T"
Pb 0.0000 0.0000 0.0000
Sc 2.9362 2.9362 2.0918
Te 0.0000 2.9362 0.0000
Te 2.9362 0.0000 0.0000
N 0.0000 0.0000 2.0918
```

Record 6
The following is a PBE-GGA calculation of a relaxed SmSbRu crystal, from Alexandria via LeMat-Bulk.

Output
Space group = P2_1/m (11)
Uncorrected formation energy = -0.5012 eV/atom

```
6
Lattice="-2.3777 -3.5829 1.4215 -0.5238 -2.1351 -6.2575 4.5123 -2.2937 1.7660" Properties=species:S:1:pos:R:3 pbc="T T T"
Sb 1.3742 -6.0152 -2.0408
Sb 0.2366 -1.9965 -1.0292
Ru -1.0935 -3.1973 0.9343
Ru 2.7042 -4.8145 -4.0042
Sm 1.2813 -4.7490 0.9955
Sm 0.3294 -3.2628 -4.0654
```

Record 7
The following is a PBE-GGA calculation of a relaxed Rb2NaRuO crystal, from Alexandria via LeMat-Bulk.

Output
Space group = P4/mmm (123)
Uncorrected formation energy = 1.0305 eV/atom

```
5
Lattice="5.5520 0.0000 0.0000 0.0000 5.4422 0.0000 0.0000 0.0000 5.5520" Properties=species:S:1:pos:R:3 pbc="T T T"
Ru 0.0000 0.0000 0.0000
O 2.7760 2.7211 2.7760
Rb 0.0000 0.0000 2.7760
Rb 2.7760 0.0000 0.0000
Na 0.0000 2.7211 0.0000
```

Record 8
The following is a PBE-GGA calculation of a relaxed TmCdCl5 crystal, from Alexandria via LeMat-Bulk.

Output
Space group = C2/c (15)
Offset from the most stable computed form = 50 meV per atom
Uncorrected formation energy = -1.6687 eV/atom

```
14
Lattice="-2.4146 -2.8200 5.9364 5.4121 0.1035 4.4410 -1.3969 6.8254 6.0323" Properties=species:S:1:pos:R:3 pbc="T T T"
Tm 0.7779 0.2093 6.7678
Tm 0.8226 3.8996 9.6420
Cd 0.0000 0.0000 0.0000
Cd -0.6985 3.4127 3.0162
Cl 1.6536 -1.2085 8.6908
Cl 2.2040 2.3389 7.5029
Cl 1.7345 2.4953 11.5581
Cl -1.7367 -0.7300 7.2482
Cl 2.8910 -0.5983 5.3565
Cl -1.2905 4.7072 11.0533
Cl 3.3372 4.8388 9.1615
Cl -0.1340 1.6135 4.8517
Cl -0.6035 1.7700 8.9069
Cl -0.0531 5.3174 7.7189
```

Record 9
The following is a PBE-GGA calculation of a relaxed La2NiAs crystal, from Alexandria via LeMat-Bulk.

Output
Space group = Cmm2 (35)
ΔE_f = -1.3 eV/f.u.

```
4
Lattice="3.6931 -0.1336 0.0000 -0.9137 3.5808 0.0000 0.0000 0.0000 8.2570" Properties=species:S:1:pos:R:3 pbc="T T T"
As 1.3897 1.7236 5.7001
La 0.0000 0.0000 7.5829
La 1.3897 1.7236 2.7783
Ni 0.0000 0.0000 4.5812
```

Record 10
The following is a PBE-GGA calculation of a relaxed BaCuPH2 crystal, from Alexandria via LeMat-Bulk.

Output
Space group = P4/mmm (123)
Energy = -3.51 eV/atom

```
5
Lattice="-0.0415 0.9874 -4.2875 -1.6302 -3.8609 -0.8733 -4.0682 1.6242 0.4134" Properties=species:S:1:pos:R:3 pbc="T T T"
P 0.0000 0.0000 0.0000
Ba -2.8699 -0.6246 -2.3737
Cu -0.8151 -1.9304 -0.4367
H -2.0341 0.8121 0.2067
H -0.0207 0.4937 -2.1437
```

Record 11
The following is a PBE-GGA calculation of a relaxed Ca3NbNi crystal, from Alexandria via LeMat-Bulk.

Output
Space group = Pm-3m (221)
ΔE_f = 3.2 eV/f.u.
Offset from the most stable computed form = 0 meV per atom

```
5
Lattice="5.3424 0.0000 0.0000 0.0000 5.3424 0.0000 0.0000 0.0000 5.3424" Properties=species:S:1:pos:R:3 pbc="T T T"
Ni 0.0000 0.0000 0.0000
Nb 2.6712 2.6712 2.6712
Ca 0.0000 2.6712 0.0000
Ca 0.0000 0.0000 2.6712
Ca 2.6712 0.0000 0.0000
```

Record 12
The following is a PBE-GGA calculation of a relaxed Ca3Al4ZnO10 crystal, from Alexandria via LeMat-Bulk.

Output
Space group = Pca2_1 (29)
Uncorrected formation energy = -2.8737 eV/atom

```
72
Lattice="5.1849 0.0000 0.0000 0.0000 10.8013 0.0000 0.0000 0.0000 16.9353" Properties=species:S:1:pos:R:3 pbc="T T T"
Ca 1.5117 0.8407 6.6704
Ca 3.6732 0.8407 15.1381
Ca 3.6719 10.0484 10.3314
Ca 3.7852 7.9639 13.3872
Ca 1.5130 10.0484 1.8637
Ca 1.5117 6.2414 1.7972
Ca 1.5130 4.6477 6.6040
Ca 3.7852 2.5632 12.0157
Ca 3.6732 6.2414 10.2649
Ca 1.3997 7.9639 4.9196
Ca 1.3997 2.5632 3.5481
Ca 3.6719 4.6477 15.0716
Al 4.1315 10.7899 4.2696
Al 1.8953 8.1407 7.9562
Al 4.1315 5.3892 4.1980
Al 3.2896 2.7401 8.9791
Al 1.3618 2.6977 14.1520
Al 1.8953 2.7401 0.5115
Al 1.0534 10.7899 12.7373
Al 1.3618 8.0984 11.2510
Al 1.0534 5.3892 12.6657
Al 0.6862 9.7161 15.6630
Al 4.4987 9.7161 7.1954
Al 3.8231 8.0984 2.7833
Al 4.4987 4.3154 1.2723
Al 3.2896 8.1407 16.4239
Al 0.6862 4.3154 9.7399
Al 3.8231 2.6977 5.6843
Zn 4.4153 1.0958 1.3559
Zn 4.4153 6.4965 7.1118
Zn 0.7696 6.4965 15.5794
Zn 0.7696 1.0958 9.8235
O 2.4474 9.5780 15.7407
O 2.1288 1.2853 13.3453
O 3.0819 4.0959 4.8452
O 5.1491 0.0196 8.3911
O 0.0358 5.4202 8.5442
O 2.1030 9.4966 12.0901
O 5.1368 10.1669 5.5999
O 2.7375 9.5780 7.2730
O 3.0561 6.6860 3.5900
O 5.1368 4.7662 2.8678
O 2.7375 4.1773 1.1947
O 2.6760 1.3608 9.9142
O 0.0480 4.7662 11.3354
O 2.9620 8.0976 1.2133
O 0.0842 6.0210 5.3933
O 5.1007 0.6203 11.5420
O 2.5088 6.7614 7.0211
O 0.3814 2.6928 5.6630
O 2.6760 6.7614 15.4887
O 2.5088 1.3608 1.4466
O 4.9967 8.2069 15.9501
O 2.2229 2.6969 15.7220
O 5.1007 6.0210 13.8610
O 5.1491 5.4202 0.0765
O 2.2229 8.0976 9.6810
O 0.0480 10.1669 14.0676
O 4.9967 2.8063 9.4529
O 2.4474 4.1773 9.6623
O 2.9620 2.6969 7.2543
O 2.1030 4.0959 13.3129
O 4.8035 8.0935 11.2723
O 0.1882 2.8063 0.9852
O 4.8035 2.6928 14.1307
O 3.0819 9.4966 3.6224
O 2.1288 6.6860 12.0577
O 0.0842 0.6203 3.0743
O 0.1882 8.2069 7.4824
O 0.0358 0.0196 16.8588
O 3.0561 1.2853 4.8776
O 0.3814 8.0935 2.8046
```

Copy entry 12 word for word.
The following is a PBE-GGA calculation of a relaxed Ca3Al4ZnO10 crystal, from Alexandria via LeMat-Bulk.

Output
Space group = Pca2_1 (29)
Uncorrected formation energy = -2.8737 eV/atom

```
72
Lattice="5.1849 0.0000 0.0000 0.0000 10.8013 0.0000 0.0000 0.0000 16.9353" Properties=species:S:1:pos:R:3 pbc="T T T"
Ca 1.5117 0.8407 6.6704
Ca 3.6732 0.8407 15.1381
Ca 3.6719 10.0484 10.3314
Ca 3.7852 7.9639 13.3872
Ca 1.5130 10.0484 1.8637
Ca 1.5117 6.2414 1.7972
Ca 1.5130 4.6477 6.6040
Ca 3.7852 2.5632 12.0157
Ca 3.6732 6.2414 10.2649
Ca 1.3997 7.9639 4.9196
Ca 1.3997 2.5632 3.5481
Ca 3.6719 4.6477 15.0716
Al 4.1315 10.7899 4.2696
Al 1.8953 8.1407 7.9562
Al 4.1315 5.3892 4.1980
Al 3.2896 2.7401 8.9791
Al 1.3618 2.6977 14.1520
Al 1.8953 2.7401 0.5115
Al 1.0534 10.7899 12.7373
Al 1.3618 8.0984 11.2510
Al 1.0534 5.3892 12.6657
Al 0.6862 9.7161 15.6630
Al 4.4987 9.7161 7.1954
Al 3.8231 8.0984 2.7833
Al 4.4987 4.3154 1.2723
Al 3.2896 8.1407 16.4239
Al 0.6862 4.3154 9.7399
Al 3.8231 2.6977 5.6843
Zn 4.4153 1.0958 1.3559
Zn 4.4153 6.4965 7.1118
Zn 0.7696 6.4965 15.5794
Zn 0.7696 1.0958 9.8235
O 2.4474 9.5780 15.7407
O 2.1288 1.2853 13.3453
O 3.0819 4.0959 4.8452
O 5.1491 0.0196 8.3911
O 0.0358 5.4202 8.5442
O 2.1030 9.4966 12.0901
O 5.1368 10.1669 5.5999
O 2.7375 9.5780 7.2730
O 3.0561 6.6860 3.5900
O 5.1368 4.7662 2.8678
O 2.7375 4.1773 1.1947
O 2.6760 1.3608 9.9142
O 0.0480 4.7662 11.3354
O 2.9620 8.0976 1.2133
O 0.0842 6.0210 5.3933
O 5.1007 0.6203 11.5420
O 2.5088 6.7614 7.0211
O 0.3814 2.6928 5.6630
O 2.6760 6.7614 15.4887
O 2.5088 1.3608 1.4466
O 4.9967 8.2069 15.9501
O 2.2229 2.6969 15.7220
O 5.1007 6.0210 13.8610
O 5.1491 5.4202 0.0765
O 2.2229 8.0976 9.6810
O 0.0480 10.1669 14.0676
O 4.9967 2.8063 9.4529
O 2.4474 4.1773 9.6623
O 2.9620 2.6969 7.2543
O 2.1030 4.0959 13.3129
O 4.8035 8.0935 11.2723
O 0.1882 2.8063 0.9852
O 4.8035 2.6928 14.1307
O 3.0819 9.4966 3.6224
O 2.1288 6.6860 12.0577
O 0.0842 0.6203 3.0743
O 0.1882 8.2069 7.4824
O 0.0358 0.0196 16.8588
O 3.0561 1.2853 4.8776
O 0.3814 8.0935 2.8046
```

Number 7 is which compound? Rb2NaRuO